8
Lattice="-0.141 6.916 -1.560 -3.418 -4.232 -4.548 -3.483 -1.881 5.884" Properties=species:S:1:pos:R:3 comment="Rb2CaNbS4, optimized geometry, DFT PBE-GGA" m_tot_mub_per_cell=1.00 spacegroup="I-4 (82)" e_form_raw_ev_per_fu=-9.87 pbc="T T T"
Rb -3.505 -0.187 -2.720
Rb 0.000 0.000 0.000
Ca -3.537 0.989 2.496
Nb -3.451 -3.056 0.668
S -3.116 1.697 -0.085
S -2.794 -1.614 2.412
S -2.495 3.969 -2.976
S -5.678 -2.446 0.200

11
Lattice="6.799 0.043 0.047 -3.323 5.932 0.047 -1.256 -2.159 7.776" Properties=species:S:1:pos:R:3 comment="Rb2Ca2NbS6, optimized geometry, DFT PBE-GGA" m_tot_mub_per_cell=0.00 spacegroup="C2/m (12)" e_form_raw_ev_per_fu=-14.29 pbc="T T T"
Rb 5.039 1.067 0.047
Rb -1.563 4.908 0.047
Ca -0.561 2.880 3.935
Ca 2.781 0.936 3.935
Nb -0.628 -1.079 3.888
S 1.816 3.121 5.403
S -1.624 0.675 5.350
S 0.404 0.695 2.467
S 1.390 -1.078 5.350
S 3.844 3.140 2.520
S 0.830 4.894 2.520

5
Lattice="6.670 0.000 0.000 0.000 4.813 0.000 0.000 0.000 6.670" Properties=species:S:1:pos:R:3 comment="Rb2CaNbS, optimized geometry, DFT PBE-GGA" m_tot_mub_per_cell=3.07 spacegroup="P4/mmm (123)" e_form_raw_ev_per_fu=1.02 pbc="T T T"
S 0.000 0.000 0.000
Nb 0.000 2.407 0.000
Ca 3.335 2.407 3.335
Rb 0.000 0.000 3.335
Rb 3.335 0.000 0.000